12
Lattice="2.779 -4.669 0.000 2.779 4.669 0.000 -1.948 0.000 5.448" Properties=species:S:1:pos:R:3 comment="Na3Cr2SnO6 PBE+U optimized geometry" total_magnetization_mub_per_fu=7.0 rho_g_cm3=4.55 e_tot_ev_per_atom=-6.114 pbc="T T T"
Na 0.000 0.000 0.000
Na 2.779 1.593 0.000
Na 2.779 -1.593 0.000
Cr 1.805 3.113 2.724
Cr 1.805 -3.113 2.724
Sn 1.805 0.000 2.724
O 0.951 1.558 1.592
O -0.059 0.000 3.804
O 0.951 -1.558 1.592
O 2.658 1.558 3.856
O 3.669 0.000 1.644
O 2.658 -1.558 3.856